## Tl2Cd3 (PBE-GGA)

Data for crystalline Tl2Cd3 at its relaxed geometry.

a b c (Å): 13.9731 13.9731 13.9731
angles (deg): 13.60 13.60 13.60
Last column: nearest neighbours and their distance in Å.
Atoms (fractional coordinates):
Tl 0.5986 0.5986 0.5986  6 Tl 3.31, 6 Cd 3.35-3.41
Tl 0.4014 0.4014 0.4014  6 Tl 3.31, 6 Cd 3.35-3.41
Cd 0.8009 0.8009 0.8009  9 Cd 3.30-3.31, 3 Tl 3.35
Cd 0.0000 0.0000 0.0000  6 Cd 3.31, 6 Tl 3.41
Cd 0.1991 0.1991 0.1991  9 Cd 3.30-3.31, 3 Tl 3.35

Energy above the lowest structure with this stoichiometry   19 meV per atom
E_tot   -0.0530 hartree per atom
Formation enthalpy at 0 K   0.054 eV per atom
Total moment   0.000 Bohr magnetons per cell